# 1
Here is crystalline Pm5HgRu2 at its relaxed geometry from Alexandria via LeMat-Bulk. Energies are from GGA-PBE.

Cell and atoms, written as POSCAR:
```
Pm5HgRu2
1.0
-3.9577 3.9577 6.8736
3.9577 -3.9577 6.8736
3.9577 3.9577 -6.8736
Pm Hg Ru
10 2 4
direct
0.0000 0.0000 0.0000
0.0271 0.5271 0.8206
0.2065 0.0271 0.5000
0.2935 0.7935 0.8206
0.4729 0.2935 0.5000
0.5000 0.5000 0.0000
0.5271 0.7065 0.5000
0.7065 0.2065 0.1794
0.7935 0.9729 0.5000
0.9729 0.4729 0.1794
0.2500 0.2500 0.0000
0.7500 0.7500 0.0000
0.1411 0.3589 0.5000
0.3589 0.8589 0.2178
0.6411 0.1411 0.7822
0.8589 0.6411 0.5000
```

Properties
Formation enthalpy at 0 K (meV/atom): -327.2
DOS(E_F) (states/eV/cell): 13.5
Total energy (eV per atom): -5.653
Calculated volume (Å³ per cell): 431
Symmetry: I4/mcm, No. 140


# 2
Here is crystalline Nd3Ho5Er3 at its relaxed geometry from Alexandria via LeMat-Bulk. Energies are from GGA-PBE.

Cell and atoms, written as POSCAR:
```
Nd3Ho5Er3
1.0
9.6518 0.0000 0.0000
-4.8259 8.3587 0.0000
0.0000 0.0000 5.3831
Nd Ho Er
3 5 3
direct
0.0000 0.6337 0.0000
0.3663 0.3663 0.0000
0.6337 0.0000 0.0000
0.0000 0.2629 0.0000
0.2629 0.0000 0.0000
0.3333 0.6667 0.0000
0.6667 0.3333 0.0000
0.7371 0.7371 0.0000
0.0000 0.4521 0.5000
0.4521 0.0000 0.5000
0.5479 0.5479 0.5000
```

Properties
Formation enthalpy at 0 K (meV/atom): 817.7
DOS(E_F) (states/eV/cell): 15.7
Total energy (eV per atom): -3.808
Calculated volume (Å³ per cell): 434
Symmetry: P-62m, No. 189